CsVCl3 | PBE | optimized geometry

Cell lengths 8.972, 3.747, 15.835 Å; angles 90.00, 90.00, 90.00 degrees
Sites, in units of the cell vectors:
Cs  0.055  0.250  0.166
Cs  0.445  0.750  0.666
Cs  0.555  0.250  0.334
Cs  0.945  0.750  0.834
V  0.103  0.750  0.458
V  0.397  0.250  0.958
V  0.603  0.750  0.042
V  0.897  0.250  0.542
Cl  0.040  0.750  0.602
Cl  0.219  0.750  0.996
Cl  0.235  0.750  0.318
Cl  0.265  0.250  0.818
Cl  0.281  0.250  0.496
Cl  0.460  0.250  0.102
Cl  0.540  0.750  0.898
Cl  0.719  0.750  0.504
Cl  0.735  0.750  0.182
Cl  0.765  0.250  0.682
Cl  0.781  0.250  0.004
Cl  0.960  0.250  0.398

- energy above the lowest structure with this stoichiometry (eV per atom) = 0.188
- space-group type = No. 62
- magnetic moment (μB/cell) = 3.954
- V (Å³ per atom) = 26.6
- energy relative to the elements, uncorrected (eV/f.u.) = -6.70
- Fermi-level density of states (states/eV/atom) = 0.09